A plane-wave DFT calculation with GGA-PBE was carried out for AlGeSeS2 after structural relaxation.

The calculation puts the total energy at -4.0484 eV/atom. The calculated volume is 20.91 A^3/atom. As for the formation energy from raw total energies: -0.028 eV per atom. The calculation puts the total magnetization at 0.0 μB/f.u.

The space group is P4/mmm (No. 123) and the conventional cell measures 4.5951, 4.5951 and 4.9512 Å, with angles of 90.00, 90.00 and 90.00 degrees. The distinct sites, in fractional coordinates, are Al at (0.0000, 0.0000, 0.0000), Ge at (0.5000, 0.5000, 0.5000), Se at (0.0000, 0.0000, 0.5000) and S at (0.0000, 0.5000, 0.0000).

A plane-wave DFT calculation with GGA-PBE was carried out for Cd2Fe2Sb after structural relaxation.

The calculation puts the total energy at -4.3066 eV/atom. The calculated volume is 18.27 A^3/atom. As for the formation energy from raw total energies: 0.269 eV per atom. The calculation puts the total magnetization at 4.2 μB/f.u.

The space group is P4/mbm (No. 127) and the conventional cell measures 6.5205, 6.5205 and 4.2972 Å, with angles of 90.00, 90.00 and 90.00 degrees. The distinct sites, in fractional coordinates, are Cd at (0.1629, 0.3371, 0.0000), Fe at (0.1278, 0.6278, 0.5000) and Sb at (0.0000, 0.0000, 0.5000).

A plane-wave DFT calculation with GGA-PBE was carried out for Sm2GeP after structural relaxation.

The calculation puts the total energy at -6.0885 eV/atom. The calculated volume is 24.67 A^3/atom. Its formation energy is -4.889 eV/f.u. The calculation puts the total magnetization at 0.0 μB/f.u.

The space group is Cmcm (No. 63) and the conventional cell measures 4.2549, 22.9062 and 4.0503 Å, with angles of 90.00, 90.00 and 90.00 degrees. The distinct sites, in fractional coordinates, are Sm at (0.0000, 0.0674, 0.2500), Sm at (0.0000, 0.3115, 0.2500), Ge at (0.0000, 0.4602, 0.2500) and P at (0.0000, 0.1882, 0.2500).

A plane-wave DFT calculation with GGA-PBE was carried out for Ca2SbPt after structural relaxation.

The calculation puts the total energy at -4.2529 eV/atom. The calculated volume is 24.36 A^3/atom. As for the formation energy from raw total energies: -0.711 eV per atom. The calculation puts the total magnetization at 0.0 μB/f.u.

The space group is I-4m2 (No. 119) and the conventional cell measures 4.3851, 4.3851 and 10.1329 Å, with angles of 90.00, 90.00 and 90.00 degrees. The distinct sites, in fractional coordinates, are Ca at (0.0000, 0.0000, 0.0000), Ca at (0.0000, 0.5000, 0.2500), Sb at (0.0000, 0.0000, 0.5000) and Pt at (0.0000, 0.5000, 0.7500).

A plane-wave DFT calculation with GGA-PBE was carried out for Tb5Tl2Ir2Ru after structural relaxation.

The calculation puts the total energy at -5.9587 eV/atom. The calculated volume is 24.52 A^3/atom. Its formation energy is -4.706 eV/f.u. The calculation puts the total magnetization at 0.0 μB/f.u.

The space group is P4/mbm (No. 127) and the conventional cell measures 11.7538, 11.7538 and 3.5500 Å, with angles of 90.00, 90.00 and 90.00 degrees. The distinct sites, in fractional coordinates, are Tb at (0.0000, 0.5000, 0.0000), Tb at (0.0673, 0.1940, 0.0000), Tl at (0.1769, 0.6769, 0.5000), Ir at (0.1355, 0.3645, 0.5000) and Ru at (0.0000, 0.0000, 0.5000).

A plane-wave DFT calculation with GGA-PBE was carried out for ZrCdMo2 after structural relaxation.

The calculation puts the total energy at -7.5362 eV/atom. The calculated volume is 19.19 A^3/atom. Its formation energy is 0.981 eV/f.u. The calculation puts the total magnetization at 0.0 μB/f.u.

The space group is R3m (No. 160, hexagonal axes) and the conventional cell measures 3.1080, 3.1080 and 27.5252 Å, with angles of 90.00, 90.00 and 120.00 degrees. The distinct sites, in fractional coordinates, are Zr at (0.0000, 0.0000, 0.0000), Cd at (0.0000, 0.0000, 0.7622), Mo at (0.0000, 0.0000, 0.2524) and Mo at (0.0000, 0.0000, 0.5176).